(1)
# KMnVO3 | the Alexandria database | GGA+U | relaxed
data_KMnVO3
_chemical_formula_sum 'K4 Mn4 V4 O12'
_space_group_name_H-M_alt 'C m c m'
_space_group_IT_number 63
_space_group_name_Hall '-C 2c 2'
_cell_length_a 3.189
_cell_length_b 14.082
_cell_length_c 8.719
_cell_angle_alpha 90.00
_cell_angle_beta 90.00
_cell_angle_gamma 90.00
loop_
_atom_site_label
_atom_site_type_symbol
_atom_site_fract_x
_atom_site_fract_y
_atom_site_fract_z
_atom_site_occupancy
K1 K 0.000 0.166 0.250 1
Mn1 Mn 0.000 0.090 0.750 1
V1 V 0.000 0.500 0.000 1
O1 O 0.000 0.094 0.524 1
O2 O 0.000 0.490 0.750 1
# - total moment (μB per formula unit) = 7.00
# - E_tot (eV/atom) = -6.76
# - volume (A^3/atom) = 16.315



(2)
# K3MnV2O8 | the Alexandria database | GGA+U | relaxed
data_K3MnV2O8
_chemical_formula_sum 'K3 Mn1 V2 O8'
_space_group_name_H-M_alt 'P -3 m 1'
_space_group_IT_number 164
_space_group_name_Hall '-P 3 2"'
_cell_length_a 5.6657
_cell_length_b 5.6657
_cell_length_c 7.5125
_cell_angle_alpha 90.00
_cell_angle_beta 90.00
_cell_angle_gamma 120.00
loop_
_atom_site_label
_atom_site_type_symbol
_atom_site_fract_x
_atom_site_fract_y
_atom_site_fract_z
_atom_site_occupancy
K1 K 0.0000 0.0000 0.0000 1
K2 K 0.3333 0.6667 0.6959 1
Mn1 Mn 0.0000 0.0000 0.5000 1
V1 V 0.3333 0.6667 0.2681 1
O1 O 0.1633 0.3267 0.3477 1
O2 O 0.3333 0.6667 0.0439 1
# - total moment (μB per formula unit) = 1.96
# - E_tot (eV/atom) = -6.45
# - density of states at the Fermi level (states/eV per cell) = 2.92
# - volume (A^3/atom) = 14.917



(3)
# KMnV2O8 | the Alexandria database | GGA+U | relaxed
data_KMnV2O8
_chemical_formula_sum 'K1 Mn1 V2 O8'
_space_group_name_H-M_alt 'P -3'
_space_group_IT_number 147
_space_group_name_Hall '-P 3'
_cell_length_a 5.3977
_cell_length_b 5.3977
_cell_length_c 7.5290
_cell_angle_alpha 90.00
_cell_angle_beta 90.00
_cell_angle_gamma 120.00
loop_
_atom_site_label
_atom_site_type_symbol
_atom_site_fract_x
_atom_site_fract_y
_atom_site_fract_z
_atom_site_occupancy
K1 K 0.0000 0.0000 0.0000 1
Mn1 Mn 0.0000 0.0000 0.5000 1
V1 V 0.3333 0.6667 0.2831 1
O1 O 0.0862 0.7700 0.3509 1
O2 O 0.3333 0.6667 0.0601 1
# - total moment (μB per formula unit) = 4.10
# - E_tot (eV/atom) = -6.84
# - density of states at the Fermi level (states/eV per cell) = 7.64
# - volume (A^3/atom) = 15.831



(4)
# K2MnV4O12 | the Alexandria database | GGA+U | relaxed
data_K2MnV4O12
_chemical_formula_sum 'K4 Mn2 V8 O24'
_space_group_name_H-M_alt 'P 1 21/c 1'
_space_group_IT_number 14
_space_group_name_Hall '-P 2ybc'
_cell_length_a 8.430
_cell_length_b 9.562
_cell_length_c 9.854
_cell_angle_alpha 90.00
_cell_angle_beta 123.97
_cell_angle_gamma 90.00
loop_
_atom_site_label
_atom_site_type_symbol
_atom_site_fract_x
_atom_site_fract_y
_atom_site_fract_z
_atom_site_occupancy
K1 K 0.224 0.213 0.095 1
Mn1 Mn 0.500 0.000 0.500 1
V1 V 0.047 0.556 0.256 1
V2 V 0.293 0.728 0.636 1
O1 O 0.115 0.107 0.759 1
O2 O 0.129 0.671 0.159 1
O3 O 0.149 0.607 0.470 1
O4 O 0.195 0.067 0.350 1
O5 O 0.428 0.665 0.103 1
O6 O 0.446 0.639 0.809 1
# - total moment (μB per formula unit) = 5.00
# - E_tot (eV/atom) = -7.16
# - density of states at the Fermi level (states/eV per cell) = 0.00
# - volume (A^3/atom) = 17.336